[1]
{"formula": "Rb2Si2Ag", "functional": "GGA-PBE", "state": "optimized geometry", "total_magnetization_mub_per_fu": 0.000, "n_ef_per_ev_atom": 0.737, "space_group": "P4/mbm (127)", "de_polymorph_mev_per_atom": 116, "total_energy_ha_per_atom": -0.10468, "e_form_raw_mev_per_atom": 278, "cell": [[6.789, 0.000, 0.000], [0.000, 6.789, 0.000], [0.000, 0.000, 5.935]], "species": ["Rb", "Rb", "Rb", "Rb", "Si", "Si", "Si", "Si", "Ag", "Ag"], "fractional_positions": [[0.182, 0.318, 0.000], [0.318, 0.818, 0.000], [0.682, 0.182, 0.000], [0.818, 0.682, 0.000], [0.125, 0.625, 0.500], [0.375, 0.125, 0.500], [0.625, 0.875, 0.500], [0.875, 0.375, 0.500], [0.000, 0.000, 0.500], [0.500, 0.500, 0.500]]}



[2]
{"formula": "Rb2SiAg2", "functional": "GGA-PBE", "state": "optimized geometry", "total_magnetization_mub_per_fu": 0.620, "n_ef_per_ev_atom": 0.509, "space_group": "I4/mmm (139)", "de_polymorph_mev_per_atom": 177, "total_energy_ha_per_atom": -0.08173, "e_form_raw_mev_per_atom": 388, "cell": [[-1.946, 1.946, 11.016], [1.946, -1.946, 11.016], [1.946, 1.946, -11.016]], "species": ["Rb", "Rb", "Si", "Ag", "Ag"], "fractional_positions": [[0.105, 0.105, 0.000], [0.895, 0.895, 0.000], [0.500, 0.500, 0.000], [0.250, 0.750, 0.500], [0.750, 0.250, 0.500]]}



[3]
{"formula": "Rb2SiAg2Te4", "functional": "GGA-PBE", "state": "optimized geometry", "total_magnetization_mub_per_fu": 0.000, "n_ef_per_ev_atom": 0.184, "space_group": "C2/m (12)", "total_energy_ha_per_atom": -0.11324, "e_form_raw_mev_per_atom": -234, "cell": [[6.592, -4.539, 0.000], [6.592, 4.539, 0.000], [-2.135, 0.000, 5.196]], "species": ["Rb", "Rb", "Si", "Ag", "Ag", "Te", "Te", "Te", "Te"], "fractional_positions": [[0.125, 0.125, 0.356], [0.875, 0.875, 0.644], [0.500, 0.500, 0.000], [0.399, 0.399, 0.529], [0.601, 0.601, 0.471], [0.142, 0.588, 0.143], [0.412, 0.858, 0.857], [0.588, 0.142, 0.143], [0.858, 0.412, 0.857]]}



[4]
{"formula": "Rb2SiAgTe4", "functional": "GGA-PBE", "state": "optimized geometry", "total_magnetization_mub_per_fu": 0.000, "n_ef_per_ev_atom": 0.348, "space_group": "Fddd (70)", "total_energy_ha_per_atom": -0.12166, "e_form_raw_mev_per_atom": -463, "cell": [[0.000, 7.521, 12.229], [3.490, 0.000, 12.229], [3.490, 7.521, 0.000]], "species": ["Rb", "Rb", "Rb", "Rb", "Si", "Si", "Ag", "Ag", "Te", "Te", "Te", "Te", "Te", "Te", "Te", "Te"], "fractional_positions": [[0.056, 0.056, 0.694], [0.306, 0.306, 0.944], [0.694, 0.694, 0.056], [0.944, 0.944, 0.306], [0.375, 0.375, 0.375], [0.625, 0.625, 0.625], [0.125, 0.125, 0.125], [0.875, 0.875, 0.875], [0.001, 0.636, 0.551], [0.312, 0.551, 0.636], [0.364, 0.999, 0.688], [0.449, 0.688, 0.999], [0.551, 0.312, 0.001], [0.636, 0.001, 0.312], [0.688, 0.449, 0.364], [0.999, 0.364, 0.449]]}



[5]
{"formula": "RbSiAg2Te4", "functional": "GGA-PBE", "state": "optimized geometry", "total_magnetization_mub_per_fu": 0.000, "n_ef_per_ev_atom": 0.473, "space_group": "I222 (23)", "total_energy_ha_per_atom": -0.12295, "e_form_raw_mev_per_atom": -263, "cell": [[-3.776, 3.777, 4.672], [3.776, -3.777, 4.672], [3.776, 3.777, -4.672]], "species": ["Rb", "Si", "Ag", "Ag", "Te", "Te", "Te", "Te"], "fractional_positions": [[0.000, 0.000, 0.000], [0.500, 0.500, 0.000], [0.251, 0.751, 0.500], [0.749, 0.249, 0.500], [0.151, 0.151, 0.610], [0.458, 0.849, 0.000], [0.542, 0.542, 0.390], [0.849, 0.458, 0.000]]}



[6]
{"formula": "RbSiAgTe3", "functional": "GGA-PBE", "state": "optimized geometry", "total_magnetization_mub_per_fu": 0.000, "n_ef_per_ev_atom": 0.550, "space_group": "C2/m (12)", "total_energy_ha_per_atom": -0.12587, "e_form_raw_mev_per_atom": -314, "cell": [[6.269, -4.207, 0.000], [6.269, 4.207, 0.000], [-0.569, 0.000, 8.272]], "species": ["Rb", "Rb", "Si", "Si", "Ag", "Ag", "Te", "Te", "Te", "Te", "Te", "Te"], "fractional_positions": [[0.142, 0.142, 0.203], [0.858, 0.858, 0.797], [0.481, 0.481, 0.138], [0.519, 0.519, 0.862], [0.314, 0.686, 0.500], [0.686, 0.314, 0.500], [0.129, 0.642, 0.208], [0.349, 0.349, 0.677], [0.358, 0.871, 0.792], [0.642, 0.129, 0.208], [0.651, 0.651, 0.323], [0.871, 0.358, 0.792]]}



[7]
{"formula": "RbVSi2Ag", "functional": "GGA-PBE", "state": "optimized geometry", "total_magnetization_mub_per_fu": 0.287, "n_ef_per_ev_atom": 1.750, "space_group": "P4/mmm (123)", "total_energy_ha_per_atom": -0.08181, "e_form_raw_mev_per_atom": 2530, "cell": [[5.411, 0.000, 0.000], [0.000, 5.411, 0.000], [0.000, 0.000, 5.271]], "species": ["Rb", "V", "Si", "Si", "Ag"], "fractional_positions": [[0.000, 0.000, 0.000], [0.500, 0.500, 0.500], [0.000, 0.500, 0.000], [0.500, 0.000, 0.000], [0.000, 0.000, 0.500]]}



[8]
{"formula": "Rb2SmAg2Te4", "functional": "GGA-PBE", "state": "optimized geometry", "total_magnetization_mub_per_fu": 0.000, "n_ef_per_ev_atom": 0.444, "space_group": "C2/m (12)", "total_energy_ha_per_atom": -0.13317, "e_form_raw_mev_per_atom": -854, "cell": [[8.290, -2.233, 0.000], [8.290, 2.233, 0.000], [-2.831, 0.000, 8.445]], "species": ["Rb", "Rb", "Sm", "Ag", "Ag", "Te", "Te", "Te", "Te"], "fractional_positions": [[0.131, 0.131, 0.064], [0.869, 0.869, 0.936], [0.000, 0.000, 0.500], [0.320, 0.320, 0.517], [0.680, 0.680, 0.483], [0.198, 0.198, 0.691], [0.486, 0.486, 0.740], [0.514, 0.514, 0.260], [0.802, 0.802, 0.309]]}



[9]
{"formula": "RbSm2AgTe4", "functional": "GGA-PBE", "state": "optimized geometry", "total_magnetization_mub_per_fu": 0.000, "space_group": "Cmcm (63)", "total_energy_ha_per_atom": -0.16153, "e_form_raw_mev_per_atom": -1167, "cell": [[2.272, -7.721, 0.000], [2.272, 7.721, 0.000], [0.000, 0.000, 16.015]], "species": ["Rb", "Rb", "Sm", "Sm", "Sm", "Sm", "Ag", "Ag", "Te", "Te", "Te", "Te", "Te", "Te", "Te", "Te"], "fractional_positions": [[0.122, 0.878, 0.750], [0.878, 0.122, 0.250], [0.369, 0.631, 0.568], [0.369, 0.631, 0.932], [0.631, 0.369, 0.068], [0.631, 0.369, 0.432], [0.160, 0.840, 0.250], [0.840, 0.160, 0.750], [0.000, 0.000, 0.000], [0.000, 0.000, 0.500], [0.265, 0.735, 0.106], [0.265, 0.735, 0.394], [0.445, 0.555, 0.750], [0.555, 0.445, 0.250], [0.735, 0.265, 0.606], [0.735, 0.265, 0.894]]}



[10]
{"formula": "RbSm2Ag2Te4", "functional": "GGA-PBE", "state": "optimized geometry", "total_magnetization_mub_per_fu": 0.000, "n_ef_per_ev_atom": 0.465, "space_group": "C2/m (12)", "total_energy_ha_per_atom": -0.14888, "e_form_raw_mev_per_atom": -865, "cell": [[8.304, -2.108, 0.000], [8.304, 2.108, 0.000], [-3.963, 0.000, 7.884]], "species": ["Rb", "Sm", "Sm", "Ag", "Ag", "Te", "Te", "Te", "Te"], "fractional_positions": [[0.000, 0.000, 0.000], [0.120, 0.120, 0.548], [0.880, 0.880, 0.452], [0.296, 0.296, 0.954], [0.704, 0.704, 0.046], [0.223, 0.223, 0.295], [0.461, 0.461, 0.278], [0.539, 0.539, 0.722], [0.777, 0.777, 0.705]]}



[11]
{"formula": "Rb2Ag2Sn", "functional": "GGA-PBE", "state": "optimized geometry", "total_magnetization_mub_per_fu": 0.000, "ef_kj_per_mol_atoms": -6.42, "n_ef_per_ev_atom": 0.581, "space_group": "R-3m (166)", "de_polymorph_mev_per_atom": 0, "total_energy_ha_per_atom": -0.08800, "cell": [[2.449, 1.414, 10.808], [-2.449, 1.414, 10.808], [0.000, -2.828, 10.808]], "species": ["Rb", "Rb", "Ag", "Ag", "Sn"], "fractional_positions": [[0.074, 0.074, 0.074], [0.926, 0.926, 0.926], [0.180, 0.180, 0.180], [0.820, 0.820, 0.820], [0.500, 0.500, 0.500]]}



[12]
{"formula": "Rb3Ag2Sn9", "functional": "GGA-PBE", "state": "optimized geometry", "total_magnetization_mub_per_fu": 0.000, "ef_kj_per_mol_atoms": -1.05, "n_ef_per_ev_atom": 0.451, "space_group": "P6_3/mmc (194)", "de_polymorph_mev_per_atom": 102, "total_energy_ha_per_atom": -0.11755, "cell": [[7.366, 0.000, 0.000], [-3.683, 6.379, 0.000], [0.000, 0.000, 18.745]], "species": ["Rb", "Rb", "Rb", "Rb", "Rb", "Rb", "Ag", "Ag", "Ag", "Ag", "Sn", "Sn", "Sn", "Sn", "Sn", "Sn", "Sn", "Sn", "Sn", "Sn", "Sn", "Sn", "Sn", "Sn", "Sn", "Sn", "Sn", "Sn"], "fractional_positions": [[0.000, 0.000, 0.250], [0.000, 0.000, 0.750], [0.333, 0.667, 0.075], [0.333, 0.667, 0.425], [0.667, 0.333, 0.575], [0.667, 0.333, 0.925], [0.333, 0.667, 0.658], [0.333, 0.667, 0.842], [0.667, 0.333, 0.158], [0.667, 0.333, 0.342], [0.055, 0.527, 0.250], [0.139, 0.278, 0.572], [0.139, 0.278, 0.928], [0.139, 0.861, 0.572], [0.139, 0.861, 0.928], [0.278, 0.139, 0.072], [0.278, 0.139, 0.428], [0.473, 0.527, 0.250], [0.473, 0.945, 0.250], [0.527, 0.055, 0.750], [0.527, 0.473, 0.750], [0.722, 0.861, 0.572], [0.722, 0.861, 0.928], [0.861, 0.139, 0.072], [0.861, 0.139, 0.428], [0.861, 0.722, 0.072], [0.861, 0.722, 0.428], [0.945, 0.473, 0.750]]}